## Cr2CoSi (PBE-GGA)

Data for crystalline Cr2CoSi at its relaxed geometry.

The value obtained for the uncorrected formation energy is -60.1 kJ/mol of formula units. Its density of states at the Fermi level is 4.08 states/eV per cell.

It has space group Pm (No. 6), with a = 2.542 Å, b = 3.933 Å, c = 4.573 Å, α = 90.00°, β = 96.15° and γ = 90.00°. Symmetry generates all atoms from Cr at (0.000, 0.000, 0.000), Cr at (0.186, 0.500, 0.739), Co at (0.581, 0.000, 0.496) and Si at (0.599, 0.500, 0.239).

## Si2N (PBE-GGA)

Data for crystalline Si2N at its relaxed geometry.

The value obtained for the uncorrected formation energy is -55.1 kJ/mol of formula units. Its density of states at the Fermi level is 0.63 states/eV per cell.

It has space group P1 (No. 1), with a = 4.564 Å, b = 4.613 Å, c = 4.756 Å, α = 92.02°, β = 107.04° and γ = 93.61°. Symmetry generates all atoms from Si at (0.000, 0.000, 0.000), Si at (0.069, 0.311, 0.598), Si at (0.501, 0.022, 0.341), Si at (0.710, 0.641, 0.640), N at (0.442, 0.327, 0.571) and N at (0.833, 0.149, 0.256).

## CaPmCdIr (PBE-GGA)

Data for crystalline CaPmCdIr at its relaxed geometry.

Its density of states at the Fermi level is 4.21 states/eV per cell.

It has space group P4mm (No. 99), with a = 3.640 Å, b = 3.640 Å, c = 7.465 Å, α = 90.00°, β = 90.00° and γ = 90.00°. Symmetry generates all atoms from Ca at (0.000, 0.000, 0.000), Pm at (0.000, 0.000, 0.566), Cd at (0.500, 0.500, 0.277) and Ir at (0.500, 0.500, 0.758).

## ZnInB (PBE-GGA)

Data for crystalline ZnInB at its relaxed geometry.

Its density of states at the Fermi level is 2.92 states/eV per cell.

It has space group Pnma (No. 62), with a = 8.617 Å, b = 3.878 Å, c = 5.678 Å, α = 90.00°, β = 90.00° and γ = 90.00°. Symmetry generates all atoms from Zn at (0.093, 0.250, 0.032), In at (0.147, 0.250, 0.520) and B at (0.105, 0.750, 0.241).

Across the entries above, E_tot takes the values -0.298, -0.242, -0.167, -0.111 Ha/atom, respectively.